Arrangement w

Below is a relaxed Ga2TcAu2 crystal, with properties calculated at the PBE level.

a = 7.1621 Å, b = 7.1621 Å, c = 3.2575 Å
α = 90.00°, β = 90.00°, γ = 90.00°
Closest atoms and distances in Å follow each position.
Positions (direct):
Ga: 0.1489 0.3511 0.0000  6 Au 2.59-2.70, 2 Tc 2.73
Ga: 0.3511 0.8511 0.0000  6 Au 2.59-2.70, 2 Tc 2.73
Ga: 0.6489 0.1489 0.0000  6 Au 2.59-2.70, 2 Tc 2.73
Ga: 0.8511 0.6489 0.0000  6 Au 2.59-2.70, 2 Tc 2.73
Tc: 0.0000 0.0000 0.0000  4 Ga 2.73
Tc: 0.5000 0.5000 0.0000  4 Ga 2.73
Au: 0.1526 0.6526 0.5000  6 Ga 2.59-2.70
Au: 0.3474 0.1526 0.5000  6 Ga 2.59-2.70
Au: 0.6526 0.8474 0.5000  6 Ga 2.59-2.70
Au: 0.8474 0.3474 0.5000  6 Ga 2.59-2.70



Arrangement x

Below is a relaxed Ga2TcAu2 crystal, with properties calculated at the PBE level.

a = 6.8351 Å, b = 6.8351 Å, c = 6.8351 Å
α = 148.28°, β = 148.28°, γ = 45.47°
Closest atoms and distances in Å follow each position.
Positions (direct):
Ga: 0.0953 0.0953 0.0000  1 Ga 2.40
Ga: 0.9047 0.9047 0.0000  1 Ga 2.40
Tc: 0.5000 0.5000 0.0000  8 Ga 2.90
Au: 0.2500 0.7500 0.5000  4 Au 2.64, 4 Ga 2.70
Au: 0.7500 0.2500 0.5000  4 Au 2.64, 4 Ga 2.70



Arrangement y

Below is a relaxed Ga2TcAu2 crystal, with properties calculated at the PBE level.

a = 7.6123 Å, b = 7.6123 Å, c = 2.8979 Å
α = 90.00°, β = 90.00°, γ = 90.00°
Closest atoms and distances in Å follow each position.
Positions (direct):
Ga: 0.1713 0.3287 0.0000  6 Au 2.57-2.74
Ga: 0.3287 0.8287 0.0000  6 Au 2.57-2.74
Ga: 0.6713 0.1713 0.0000  6 Au 2.57-2.74
Ga: 0.8287 0.6713 0.0000  6 Au 2.57-2.74
Tc: 0.0000 0.0000 0.5000  2 Tc 2.90, 4 Au 2.98, 8 Ga 3.17
Tc: 0.5000 0.5000 0.5000  2 Tc 2.90, 4 Au 2.98, 8 Ga 3.17
Au: 0.1320 0.6320 0.5000  6 Ga 2.57-2.74, 1 Au 2.84
Au: 0.3680 0.1320 0.5000  6 Ga 2.57-2.74, 1 Au 2.84
Au: 0.6320 0.8680 0.5000  6 Ga 2.57-2.74, 1 Au 2.84
Au: 0.8680 0.3680 0.5000  6 Ga 2.57-2.74, 1 Au 2.84



Result of the stability comparison: arrangement x is the least stable of them.



Arrangement w

Below is a relaxed Ga2Te2Au crystal, with properties calculated at the PBE level.

a = 8.5040 Å, b = 8.5040 Å, c = 8.5040 Å
α = 151.23°, β = 151.23°, γ = 41.14°
Closest atoms and distances in Å follow each position.
Positions (direct):
Ga: 0.0853 0.0853 0.0000  1 Ga 2.72
Ga: 0.9147 0.9147 0.0000  1 Ga 2.72
Te: 0.2500 0.7500 0.5000  4 Te 2.99
Te: 0.7500 0.2500 0.5000  4 Te 2.99
Au: 0.5000 0.5000 0.0000  8 Ga 3.28



Arrangement x

Below is a relaxed Ga2Te2Au crystal, with properties calculated at the PBE level.

a = 7.8046 Å, b = 7.8046 Å, c = 3.8958 Å
α = 90.00°, β = 90.00°, γ = 90.00°
Closest atoms and distances in Å follow each position.
Positions (direct):
Ga: 0.1532 0.3468 0.0000  6 Te 2.84-3.13, 2 Au 2.96
Ga: 0.3468 0.8468 0.0000  6 Te 2.84-3.13, 2 Au 2.96
Ga: 0.6532 0.1532 0.0000  6 Te 2.84-3.13, 2 Au 2.96
Ga: 0.8468 0.6532 0.0000  6 Te 2.84-3.13, 2 Au 2.96
Te: 0.1601 0.6601 0.5000  6 Ga 2.84-3.13
Te: 0.3399 0.1601 0.5000  6 Ga 2.84-3.13
Te: 0.6601 0.8399 0.5000  6 Ga 2.84-3.13
Te: 0.8399 0.3399 0.5000  6 Ga 2.84-3.13
Au: 0.0000 0.0000 0.0000  4 Ga 2.96
Au: 0.5000 0.5000 0.0000  4 Ga 2.96



Result of the stability comparison: arrangement w is the least stable of them.



Arrangement w

Below is a relaxed Ga2TeAu2 crystal, with properties calculated at the PBE level.

a = 6.8347 Å, b = 6.8347 Å, c = 6.8347 Å
α = 144.67°, β = 144.67°, γ = 50.83°
Closest atoms and distances in Å follow each position.
Positions (direct):
Ga: 0.2500 0.7500 0.5000  4 Au 2.67, 4 Ga 2.93
Ga: 0.7500 0.2500 0.5000  4 Au 2.67, 4 Ga 2.93
Te: 0.0000 0.0000 0.0000  8 Au 3.25
Au: 0.3861 0.3861 0.0000  4 Ga 2.67, 1 Au 2.81
Au: 0.6139 0.6139 0.0000  4 Ga 2.67, 1 Au 2.81



Arrangement x

Below is a relaxed Ga2TeAu2 crystal, with properties calculated at the PBE level.

a = 8.2757 Å, b = 8.2757 Å, c = 3.0484 Å
α = 90.00°, β = 90.00°, γ = 90.00°
Closest atoms and distances in Å follow each position.
Positions (direct):
Ga: 0.1861 0.3139 0.0000  6 Au 2.75-3.00, 2 Te 3.02, 2 Ga 3.05
Ga: 0.3139 0.8139 0.0000  6 Au 2.75-3.00, 2 Te 3.02, 2 Ga 3.05
Ga: 0.6861 0.1861 0.0000  6 Au 2.75-3.00, 2 Te 3.02, 2 Ga 3.05
Ga: 0.8139 0.6861 0.0000  6 Au 2.75-3.00, 2 Te 3.02, 2 Ga 3.05
Te: 0.0000 0.0000 0.0000  4 Ga 3.02, 2 Te 3.05
Te: 0.5000 0.5000 0.0000  4 Ga 3.02, 2 Te 3.05
Au: 0.1186 0.6186 0.5000  6 Ga 2.75-3.00, 3 Au 2.78-3.05
Au: 0.3814 0.1186 0.5000  6 Ga 2.75-3.00, 3 Au 2.78-3.05
Au: 0.6186 0.8814 0.5000  6 Ga 2.75-3.00, 3 Au 2.78-3.05
Au: 0.8814 0.3814 0.5000  6 Ga 2.75-3.00, 3 Au 2.78-3.05



Arrangement y

Below is a relaxed Ga2TeAu2 crystal, with properties calculated at the PBE level.

a = 7.5556 Å, b = 7.5556 Å, c = 3.7442 Å
α = 90.00°, β = 90.00°, γ = 90.00°
Closest atoms and distances in Å follow each position.
Positions (direct):
Ga: 0.1623 0.3377 0.0000  6 Au 2.86-2.93
Ga: 0.3377 0.8377 0.0000  6 Au 2.86-2.93
Ga: 0.6623 0.1623 0.0000  6 Au 2.86-2.93
Ga: 0.8377 0.6623 0.0000  6 Au 2.86-2.93
Te: 0.0000 0.0000 0.5000  4 Au 2.94
Te: 0.5000 0.5000 0.5000  4 Au 2.94
Au: 0.1349 0.6349 0.5000  6 Ga 2.86-2.93, 1 Au 2.88, 2 Te 2.94
Au: 0.3651 0.1349 0.5000  6 Ga 2.86-2.93, 1 Au 2.88, 2 Te 2.94
Au: 0.6349 0.8651 0.5000  6 Ga 2.86-2.93, 1 Au 2.88, 2 Te 2.94
Au: 0.8651 0.3651 0.5000  6 Ga 2.86-2.93, 1 Au 2.88, 2 Te 2.94



Result of the stability comparison: arrangement x is the least stable of them.



Arrangement w

Below is a relaxed Th3Ga4Au4 crystal, with properties calculated at the PBE level.

a = 13.5342 Å, b = 13.5342 Å, c = 13.5342 Å
α = 162.69°, β = 160.77°, γ = 25.98°
Closest atoms and distances in Å follow each position.
Positions (direct):
Th: 0.0000 0.0000 0.0000  4 Au 3.23, 8 Ga 3.29
Th: 0.3525 0.8525 0.5000  6 Ga 3.26-3.33, 8 Au 3.27-3.63
Th: 0.6475 0.1475 0.5000  6 Ga 3.26-3.33, 8 Au 3.27-3.63
Ga: 0.1922 0.6922 0.5000  5 Au 2.56-2.65
Ga: 0.4523 0.4523 0.0000  1 Ga 2.51, 2 Au 2.58
Ga: 0.5477 0.5477 0.0000  1 Ga 2.51, 2 Au 2.58
Ga: 0.8078 0.3078 0.5000  5 Au 2.56-2.65
Au: 0.0951 0.5951 0.5000  3 Ga 2.56-2.58
Au: 0.2554 0.2554 0.0000  4 Ga 2.63-2.65
Au: 0.7446 0.7446 0.0000  4 Ga 2.63-2.65
Au: 0.9049 0.4049 0.5000  3 Ga 2.56-2.58



Arrangement x

Below is a relaxed Th3Ga4Au4 crystal, with properties calculated at the PBE level.

a = 8.5887 Å, b = 8.5887 Å, c = 8.5887 Å
α = 149.93°, β = 130.70°, γ = 58.83°
Closest atoms and distances in Å follow each position.
Positions (direct):
Th: 0.0000 0.0000 0.0000  6 Ga 3.19-3.24
Th: 0.3727 0.8727 0.5000  6 Au 3.16-3.41, 6 Ga 3.21-3.23
Th: 0.6273 0.1273 0.5000  6 Au 3.16-3.41, 6 Ga 3.21-3.23
Ga: 0.2167 0.2167 0.0000  6 Au 2.75-2.78
Ga: 0.3180 0.5000 0.8180  1 Ga 2.61, 2 Au 2.62
Ga: 0.6820 0.5000 0.1820  1 Ga 2.61, 2 Au 2.62
Ga: 0.7833 0.7833 0.0000  6 Au 2.75-2.78
Au: 0.0328 0.3342 0.6987  4 Ga 2.62-2.78, 1 Au 2.85
Au: 0.3645 0.6658 0.6987  4 Ga 2.62-2.78, 1 Au 2.85
Au: 0.6355 0.3342 0.3013  4 Ga 2.62-2.78, 1 Au 2.85
Au: 0.9672 0.6658 0.3013  4 Ga 2.62-2.78, 1 Au 2.85



Result of the stability comparison: arrangement w is the least stable of them.



Arrangement w

Below is a relaxed ThGa3Au crystal, with properties calculated at the PBE level.

a = 12.0999 Å, b = 12.0999 Å, c = 4.2264 Å
α = 90.00°, β = 90.00°, γ = 159.65°
Closest atoms and distances in Å follow each position.
Positions (direct):
Th: 0.1711 0.8289 0.0000  10 Ga 3.26-3.55, 4 Au 3.27
Th: 0.8289 0.1711 0.0000  10 Ga 3.26-3.55, 4 Au 3.27
Ga: 0.0523 0.9477 0.5000  1 Ga 2.49, 2 Au 2.64
Ga: 0.2758 0.7242 0.5000  2 Ga 2.47, 1 Au 2.54
Ga: 0.4479 0.5521 0.0000  1 Ga 2.48, 2 Au 2.63
Ga: 0.5521 0.4479 0.0000  1 Ga 2.48, 2 Au 2.63
Ga: 0.7242 0.2758 0.5000  2 Ga 2.47, 1 Au 2.54
Ga: 0.9477 0.0523 0.5000  1 Ga 2.49, 2 Au 2.64
Au: 0.3824 0.6176 0.5000  5 Ga 2.54-2.64
Au: 0.6176 0.3824 0.5000  5 Ga 2.54-2.64



Arrangement x

Below is a relaxed ThGa3Au crystal, with properties calculated at the PBE level.

a = 6.1027 Å, b = 6.1027 Å, c = 6.1027 Å
α = 137.64°, β = 137.64°, γ = 61.45°
Closest atoms and distances in Å follow each position.
Positions (direct):
Th: 0.0000 0.0000 0.0000  12 Ga 3.31-3.52, 4 Au 3.41
Ga: 0.2611 0.7611 0.5000  2 Au 2.59, 2 Ga 2.62
Ga: 0.3951 0.3951 0.0000  1 Au 2.49, 4 Ga 2.62
Ga: 0.7611 0.2611 0.5000  2 Au 2.59, 2 Ga 2.62
Au: 0.6322 0.6322 0.0000  5 Ga 2.49-2.59



Result of the stability comparison: arrangement w is the least stable of them.



Arrangement w

Below is a relaxed ThGaAu4 crystal, with properties calculated at the PBE level.

a = 5.6304 Å, b = 5.6304 Å, c = 5.6304 Å
α = 60.00°, β = 60.00°, γ = 60.00°
Closest atoms and distances in Å follow each position.
Positions (direct):
Th: 0.0000 0.0000 0.0000  12 Au 3.30, 4 Ga 3.45
Ga: 0.2500 0.2500 0.2500  12 Au 3.30, 4 Th 3.45
Au: 0.1263 0.6246 0.6246  6 Au 2.81-2.82
Au: 0.6246 0.1263 0.6246  6 Au 2.81-2.82
Au: 0.6246 0.6246 0.1263  6 Au 2.81-2.82
Au: 0.6246 0.6246 0.6246  6 Au 2.81-2.82



Arrangement x

Below is a relaxed ThGaAu4 crystal, with properties calculated at the PBE level.

a = 6.2330 Å, b = 6.2330 Å, c = 7.8241 Å
α = 105.86°, β = 105.86°, γ = 60.84°
Closest atoms and distances in Å follow each position.
Positions (direct):
Th: 0.2140 0.2140 0.3078  9 Au 3.12-3.45, 1 Ga 3.48
Th: 0.7860 0.7860 0.6922  9 Au 3.12-3.45, 1 Ga 3.48
Ga: 0.4550 0.4550 0.7270  5 Au 2.47-2.61
Ga: 0.5450 0.5450 0.2730  5 Au 2.47-2.61
Au: 0.1218 0.6576 0.0622  1 Ga 2.57, 3 Au 2.83-2.86
Au: 0.2221 0.2221 0.7102  1 Ga 2.47
Au: 0.2317 0.7683 0.5000  2 Ga 2.61, 2 Au 2.84
Au: 0.3424 0.8782 0.9378  1 Ga 2.57, 3 Au 2.83-2.86
Au: 0.6576 0.1218 0.0622  1 Ga 2.57, 3 Au 2.83-2.86
Au: 0.7683 0.2317 0.5000  2 Ga 2.61, 2 Au 2.84
Au: 0.7779 0.7779 0.2898  1 Ga 2.47
Au: 0.8782 0.3424 0.9378  1 Ga 2.57, 3 Au 2.83-2.86



Arrangement y

Below is a relaxed ThGaAu4 crystal, with properties calculated at the PBE level.

a = 4.5611 Å, b = 7.7075 Å, c = 7.9597 Å
α = 72.03°, β = 73.64°, γ = 89.44°
Closest atoms and distances in Å follow each position.
Positions (direct):
Th: 0.1830 0.2683 0.1384  11 Au 3.04-3.40
Th: 0.8170 0.7317 0.8616  11 Au 3.04-3.40
Ga: 0.0000 0.5000 0.5000  8 Au 2.59-2.84
Ga: 0.5000 0.0000 0.5000  6 Au 2.67-2.75
Au: 0.0477 0.8525 0.4226  3 Ga 2.59-2.72, 2 Au 2.87-2.88
Au: 0.1809 0.6834 0.1378  1 Ga 2.68, 4 Au 2.87-2.96
Au: 0.3216 0.0300 0.8489  1 Ga 2.75, 3 Au 2.87-3.02
Au: 0.3998 0.5541 0.6959  2 Ga 2.82-2.84, 2 Au 2.94-2.96, 2 Th 3.12-3.13
Au: 0.6002 0.4459 0.3041  2 Ga 2.82-2.84, 2 Au 2.94-2.96, 2 Th 3.12-3.13
Au: 0.6784 0.9700 0.1511  1 Ga 2.75, 3 Au 2.87-3.02
Au: 0.8191 0.3166 0.8622  1 Ga 2.68, 4 Au 2.87-2.96
Au: 0.9523 0.1475 0.5774  3 Ga 2.59-2.72, 2 Au 2.87-2.88



Result of the stability comparison: arrangement w is the least stable of them.



Arrangement w

Below is a relaxed ThGa3Au3 crystal, with properties calculated at the PBE level.

a = 6.9759 Å, b = 4.6272 Å, c = 9.1456 Å
α = 90.00°, β = 108.29°, γ = 90.00°
Closest atoms and distances in Å follow each position.
Positions (direct):
Th: 0.1549 0.2500 0.2899  9 Au 3.13-3.49, 7 Ga 3.20-3.48
Th: 0.8451 0.7500 0.7101  9 Au 3.13-3.49, 7 Ga 3.20-3.48
Ga: 0.1184 0.2500 0.9148  4 Au 2.62-2.72, 1 Ga 2.83
Ga: 0.4854 0.7500 0.8735  4 Au 2.61-2.89, 1 Ga 2.83
Ga: 0.4960 0.2500 0.6615  5 Au 2.62-2.73
Ga: 0.5040 0.7500 0.3385  5 Au 2.62-2.73
Ga: 0.5146 0.2500 0.1265  4 Au 2.61-2.89, 1 Ga 2.83
Ga: 0.8816 0.7500 0.0852  4 Au 2.62-2.72, 1 Ga 2.83
Au: 0.0908 0.2500 0.6219  2 Ga 2.62-2.73, 1 Au 2.87
Au: 0.2537 0.7500 0.0490  7 Ga 2.61-2.89
Au: 0.3265 0.7500 0.5633  4 Ga 2.62-2.71, 1 Au 2.87
Au: 0.6735 0.2500 0.4367  4 Ga 2.62-2.71, 1 Au 2.87
Au: 0.7463 0.2500 0.9510  7 Ga 2.61-2.89
Au: 0.9092 0.7500 0.3781  2 Ga 2.62-2.73, 1 Au 2.87



Arrangement x

Below is a relaxed ThGa3Au3 crystal, with properties calculated at the PBE level.

a = 6.9593 Å, b = 6.9593 Å, c = 6.9593 Å
α = 90.00°, β = 90.00°, γ = 90.00°
Closest atoms and distances in Å follow each position.
Positions (direct):
Th: 0.0000 0.0000 0.0000  12 Ga 3.89, 12 Au 3.89
Th: 0.5000 0.5000 0.5000  12 Ga 3.89, 12 Au 3.89
Ga: 0.0000 0.2500 0.5000  4 Au 2.46
Ga: 0.0000 0.7500 0.5000  4 Au 2.46
Ga: 0.2500 0.5000 0.0000  4 Au 2.46
Ga: 0.5000 0.0000 0.2500  4 Au 2.46
Ga: 0.5000 0.0000 0.7500  4 Au 2.46
Ga: 0.7500 0.5000 0.0000  4 Au 2.46
Au: 0.0000 0.5000 0.2500  4 Ga 2.46
Au: 0.0000 0.5000 0.7500  4 Ga 2.46
Au: 0.2500 0.0000 0.5000  4 Ga 2.46
Au: 0.5000 0.2500 0.0000  4 Ga 2.46
Au: 0.5000 0.7500 0.0000  4 Ga 2.46
Au: 0.7500 0.0000 0.5000  4 Ga 2.46



Arrangement y

Below is a relaxed ThGa3Au3 crystal, with properties calculated at the PBE level.

a = 7.3095 Å, b = 7.3095 Å, c = 7.3095 Å
α = 68.17°, β = 68.17°, γ = 68.17°
Closest atoms and distances in Å follow each position.
Positions (direct):
Th: 0.1655 0.1655 0.1655  6 Au 3.10-3.11, 6 Ga 3.20-3.22
Th: 0.8345 0.8345 0.8345  6 Au 3.10-3.11, 6 Ga 3.20-3.22
Ga: 0.1135 0.7146 0.4138  3 Au 2.59-2.66
Ga: 0.2854 0.5862 0.8865  3 Au 2.59-2.66
Ga: 0.4138 0.1135 0.7146  3 Au 2.59-2.66
Ga: 0.5862 0.8865 0.2854  3 Au 2.59-2.66
Ga: 0.7146 0.4138 0.1135  3 Au 2.59-2.66
Ga: 0.8865 0.2854 0.5862  3 Au 2.59-2.66
Au: 0.0635 0.4077 0.7505  3 Ga 2.59-2.66
Au: 0.2495 0.9365 0.5923  3 Ga 2.59-2.66
Au: 0.4077 0.7505 0.0635  3 Ga 2.59-2.66
Au: 0.5923 0.2495 0.9365  3 Ga 2.59-2.66
Au: 0.7505 0.0635 0.4077  3 Ga 2.59-2.66
Au: 0.9365 0.5923 0.2495  3 Ga 2.59-2.66



Result of the stability comparison: arrangement x is the least stable of them.



Arrangement w

Below is a relaxed Th2GaAu3 crystal, with properties calculated at the PBE level.

a = 9.0499 Å, b = 9.0499 Å, c = 9.0499 Å
α = 155.41°, β = 151.99°, γ = 37.61°
Closest atoms and distances in Å follow each position.
Positions (direct):
Th: 0.0000 0.0000 0.0000  6 Au 3.17-3.28, 4 Ga 3.23
Th: 0.7370 0.2370 0.5000  8 Au 3.21-3.24, 2 Ga 3.30
Ga: 0.5805 0.5805 0.0000  3 Au 2.53-2.61
Au: 0.1549 0.6549 0.5000  2 Ga 2.53, 1 Au 2.75
Au: 0.3152 0.8152 0.5000  3 Au 2.73-2.75
Au: 0.4280 0.4280 0.0000  1 Ga 2.61, 2 Au 2.73



Arrangement x

Below is a relaxed Th2GaAu3 crystal, with properties calculated at the PBE level.

a = 3.5058 Å, b = 4.7470 Å, c = 8.2254 Å
α = 90.00°, β = 90.00°, γ = 90.00°
Closest atoms and distances in Å follow each position.
Positions (direct):
Th: 0.0000 0.0000 0.0000  8 Au 3.19-3.25, 4 Ga 3.29, 2 Th 3.51
Th: 0.0000 0.5000 0.4903  10 Au 3.23-3.31, 2 Ga 3.26, 2 Th 3.51
Ga: 0.5000 0.5000 0.8240  3 Au 2.67-2.68
Au: 0.5000 0.0000 0.3321  3 Au 2.81
Au: 0.5000 0.0000 0.6739  2 Ga 2.68, 1 Au 2.81
Au: 0.5000 0.5000 0.1488  1 Ga 2.67, 2 Au 2.81



Result of the stability comparison: arrangement w is the least stable of them.



Arrangement w

Below is a relaxed YThGaAu crystal, with properties calculated at the PBE level.

a = 5.2009 Å, b = 5.2009 Å, c = 5.2009 Å
α = 60.00°, β = 60.00°, γ = 60.00°
Closest atoms and distances in Å follow each position.
Positions (direct):
Y: 0.0000 0.0000 0.0000  4 Ga 3.18, 4 Au 3.18
Th: 0.5000 0.5000 0.5000  4 Ga 3.18, 4 Au 3.18
Ga: 0.7500 0.7500 0.7500  4 Th 3.18, 4 Y 3.18
Au: 0.2500 0.2500 0.2500  4 Th 3.18, 4 Y 3.18



Arrangement x

Below is a relaxed YThGaAu crystal, with properties calculated at the PBE level.

a = 4.4757 Å, b = 5.9433 Å, c = 5.9433 Å
α = 39.89°, β = 90.00°, γ = 90.00°
Closest atoms and distances in Å follow each position.
Positions (direct):
Y: 0.0000 0.0000 0.0000  4 Au 3.09, 3 Ga 3.16-3.17
Th: 0.5000 0.7188 0.7188  3 Au 3.08-3.22, 4 Ga 3.10
Ga: 0.0000 0.2833 0.2833  2 Au 2.86, 4 Th 3.10, 3 Y 3.16-3.17
Au: 0.5000 0.4429 0.4429  2 Ga 2.86, 1 Th 3.08, 4 Y 3.09



Result of the stability comparison: arrangement w is the least stable of them.